Below is crystalline PrNd3Sn3 at its relaxed geometry, with properties calculated at the GGA-PBE level.

Cell lengths 9.5547, 9.5547, 5.4410 Å; angles 90.00, 90.00, 120.00 degrees
Space group P6_3/m (No. 176)
Symmetry-distinct sites (fractional):
Pr: 0.3333 0.6667 0.2500 [2 per cell]
Nd: 0.0027 0.2438 0.7500 [6 per cell]
Sn: 0.0722 0.6190 0.7500 [6 per cell]

Calculated values
- crystal system = hexagonal
- DOS at the Fermi energy (states/eV per cell) = 12.3
- theoretical density (g/cm3) = 7.2
- electronic total energy (eV/atom) = -4.982
- formation enthalpy at 0 K (eV/atom) = -0.5408